# BiAsCl3 | Alexandria via LeMat-Bulk | PBE | optimized geometry
data_BiAsCl3
_chemical_formula_sum 'Bi1 As1 Cl3'
_space_group_name_H-M_alt 'P m -3 m'
_space_group_IT_number 221
_space_group_name_Hall '-P 4 2 3'
_cell_length_a 5.177
_cell_length_b 5.177
_cell_length_c 5.177
_cell_angle_alpha 90.00
_cell_angle_beta 90.00
_cell_angle_gamma 90.00
loop_
_atom_site_label
_atom_site_type_symbol
_atom_site_fract_x
_atom_site_fract_y
_atom_site_fract_z
Bi1 Bi 0.000 0.000 0.000
As1 As 0.500 0.500 0.500
Cl1 Cl 0.000 0.500 0.500
# ΔE to the lowest computed polymorph = 0.1534 eV per atom
# final energy = -2.775 eV per atom
# DOS(E_F) = 5.9 states/eV per cell